# ZrAlAs2

A geometry-optimized ZrAlAs2 structure (PBE, Alexandria).

Geometry as POSCAR:
```
ZrAlAs2
1.0
10.707 0.025 0.015
10.262 3.054 0.015
10.262 1.507 2.657
As Al Zr
2 1 1
Cartesian
0.606 0.089 0.052 As
7.329 1.076 0.630 As
23.466 3.446 2.018 Al
15.447 2.268 1.328 Zr
```

Output
total magnetic moment	0.00	μB per formula unit
space-group type	R3m (160)
raw total energy	-21.84	eV for the cell shown
ΔE_f	-62.1	meV/atom